VASP calculation (PBE-GGA) on crystalline MnCo2ReSi at its relaxed geometry.

## Properties
Symmetry ... No. 123
Fermi-level density of states ... 11.15 states/eV per cell
E ... -7.1012 eV/atom
Uncorrected formation energy ... 1.1493 eV per atom

abc: 4.0401 4.0401 4.4388
angles: 90.00 90.00 90.00
Element x y z (fractional)
Mn1 0.0000 0.0000 0.0000
Co1 0.0000 0.5000 0.5000
Co2 0.5000 0.0000 0.5000
Re1 0.5000 0.5000 0.0000
Si1 0.5000 0.5000 0.5000


VASP calculation (PBE-GGA) on crystalline Ga2MoSe at its relaxed geometry.

## Properties
Symmetry ... No. 122
Polymorph energy (0 for the lowest one) ... 0.0000 eV/atom
Fermi-level density of states ... 7.39 states/eV per cell
E ... -4.7079 eV/atom
Uncorrected formation energy ... 0.3844 eV per atom

abc: 5.8988 5.8988 5.8988
angles: 102.13 102.13 125.42
Element x y z (fractional)
Ga1 0.1186 0.6250 0.9936
Ga2 0.3750 0.3686 0.4936
Ga3 0.6314 0.1250 0.0064
Ga4 0.8750 0.8814 0.5064
Mo1 0.0000 0.0000 0.0000
Mo2 0.7500 0.2500 0.5000
Se1 0.2500 0.7500 0.5000
Se2 0.5000 0.5000 0.0000


Look up the Fermi-level density of states of the first one. 11.15 states/eV per cell